A plane-wave DFT calculation with SCAN was carried out for a PBEsol-optimized structure of CaNb2GeO.

E_form (uncorrected) (eV/f.u.): -2.37
VASP energy (eV per cell): -103.6
Volume (Å³/atom): 17.72

Cell: 4.148 4.148 5.149 Å, 90.00 90.00 90.00°
Positions (direct):
Ca 0.000 0.000 0.000
Nb 0.000 0.500 0.500
Nb 0.500 0.000 0.500
Ge 0.500 0.500 0.000
O 0.500 0.500 0.500